# 1
Compound: Ge2AuS
Source: the Alexandria database
Functional: GGA-PBE
Structure: relaxed

Output
The calculation puts the energy relative to the elements, uncorrected at 73 meV per atom. As for the total moment: 0.000 μB/atom.

Cell lengths 4.127, 4.127, 7.166 Å; angles 73.26, 73.26, 60.00 degrees
Element x y z (fractional)
Ge: 0.890 0.890 0.331
S: 0.000 0.000 0.000
Au: 0.500 0.500 0.500
Ge: 0.110 0.110 0.669



# 2
Compound: Ge2AuS2
Source: the Alexandria database
Functional: GGA-PBE
Structure: relaxed

Output
The energy above the most stable polymorph in this dataset comes out at 0.241 eV/atom. The calculation puts the energy relative to the elements, uncorrected at 67 meV per atom. As for the total moment: 0.000 μB/atom.

Cell lengths 5.327, 5.327, 5.413 Å; angles 60.52, 60.52, 90.00 degrees
Element x y z (fractional)
Ge: 0.250 0.750 0.500
Au: 0.000 0.000 0.000
S: 0.300 0.300 0.400
Ge: 0.750 0.250 0.500
S: 0.700 0.700 0.600



# 3
Compound: Ge3AuS
Source: the Alexandria database
Functional: GGA-PBE
Structure: relaxed

Output
The energy above the most stable polymorph in this dataset comes out at 0.000 eV/atom. The calculation puts the energy relative to the elements, uncorrected at 611 meV per atom. As for the total moment: 0.000 μB/atom.

Cell lengths 4.906, 4.906, 4.906 Å; angles 90.00, 90.00, 90.00 degrees
Element x y z (fractional)
S: 0.000 0.000 0.000
Ge: 0.500 0.000 0.000
Ge: 0.000 0.000 0.500
Au: 0.500 0.500 0.500
Ge: 0.000 0.500 0.000